# 1
Below is an optimized crystal structure of Pa5Co6, with properties calculated at the GGA-PBE level.

Unit cell a=3.8200 b=28.8123 c=3.5788 alpha=90.00 beta=90.00 gamma=90.00
With the nearest neighbours (Å) after each atom.
Space group Cmmm (No. 65)
Inequivalent atoms, fractional coordinates:
Pa (0.0000, 0.0000, 0.0000) [2 per cell]  8 Co 2.88
Pa (0.0000, 0.1995, 0.5000) [4 per cell]  5 Co 2.66-2.77
Pa (0.0000, 0.3902, 0.0000) [4 per cell]  6 Co 2.62-2.66
Co (0.0000, 0.1032, 0.5000) [4 per cell]  2 Co 2.61, 5 Pa 2.62-2.77
Co (0.0000, 0.2848, 0.0000) [4 per cell]  4 Pa 2.66, 2 Co 2.77
Co (0.0000, 0.4584, 0.5000) [4 per cell]  3 Co 2.40-2.61, 2 Pa 2.66

Summary:
The value obtained for the total energy is -8.559 eV per atom. For the magnetization, the calculation gives 0.0 μB/f.u. The calculation puts the calculated formation energy at -0.37 eV per atom.

# 2
Below is an optimized crystal structure of Sr2ZnInN, with properties calculated at the GGA-PBE level.

Unit cell a=7.9327 b=3.9446 c=9.2436 alpha=90.00 beta=114.73 gamma=90.00
With the nearest neighbours (Å) after each atom.
Space group P2_1/m (No. 11)
Inequivalent atoms, fractional coordinates:
Sr (0.1815, 0.2500, 0.3732) [2 per cell]  2 N 2.64
Sr (0.1828, 0.2500, 0.9840) [2 per cell]  3 N 2.54-2.71
Zn (0.4387, 0.7500, 0.2702) [2 per cell]  1 N 1.96
In (0.3177, 0.7500, 0.7318) [2 per cell]  2 Zn 2.77
N (0.1669, 0.7500, 0.1791) [2 per cell]  1 Zn 1.96

Summary:
The value obtained for the total energy is -3.571 eV per atom. For the magnetization, the calculation gives 0.0 μB/f.u. The formation energy without anion corrections is -0.431 eV/atom. As for the excess energy over the best structure of this formula in the dataset: 0.000 eV per formula unit.

# 3
Below is an optimized crystal structure of GaHgSb2, with properties calculated at the GGA-PBE level.

Unit cell a=4.1534 b=4.1534 c=20.8661 alpha=90.00 beta=90.00 gamma=120.00
With the nearest neighbours (Å) after each atom.
Space group R-3m (No. 166, hexagonal axes)
Inequivalent atoms, fractional coordinates:
Ga (0.0000, 0.0000, 0.0000) [3 per cell]  6 Sb 2.86
Hg (0.0000, 0.0000, 0.5000) [3 per cell]  6 Sb 3.07
Sb (0.0000, 0.0000, 0.2586) [6 per cell]  3 Ga 2.86, 3 Hg 3.07

Summary:
The value obtained for the total energy is -2.793 eV per atom. For the magnetization, the calculation gives 0.0 μB/f.u. The formation energy without anion corrections is 0.101 eV/atom. As for the excess energy over the best structure of this formula in the dataset: 0.248 eV per formula unit.

# 4
Below is an optimized crystal structure of HfSiRu2Cl, with properties calculated at the GGA-PBE level.

Unit cell a=4.3278 b=4.3278 c=4.6692 alpha=90.00 beta=90.00 gamma=90.00
With the nearest neighbours (Å) after each atom.
Space group P4/mmm (No. 123)
Inequivalent atoms, fractional coordinates:
Hf (0.0000, 0.0000, 0.0000) [1 per cell]  4 Si 3.06, 8 Ru 3.18
Si (0.5000, 0.5000, 0.0000) [1 per cell]  2 Cl 2.33
Ru (0.0000, 0.5000, 0.5000) [2 per cell]  2 Cl 2.16
Cl (0.5000, 0.5000, 0.5000) [1 per cell]  4 Ru 2.16, 2 Si 2.33

Summary:
The value obtained for the total energy is -6.315 eV per atom. For the magnetization, the calculation gives 0.0 μB/f.u. The formation energy without anion corrections is 0.840 eV/atom.

# 5
Below is an optimized crystal structure of ZrCo12, with properties calculated at the GGA-PBE level.

Unit cell a=9.3786 b=9.3786 c=9.3786 alpha=90.00 beta=90.00 gamma=90.00
With the nearest neighbours (Å) after each atom.
Space group Fm-3m (No. 225)
Inequivalent atoms, fractional coordinates:
Zr (0.0000, 0.0000, 0.0000) [4 per cell]  24 Co 3.48
Co (0.0000, 0.1704, 0.3296) [48 per cell]  5 Co 2.11-2.26

Summary:
The value obtained for the total energy is -6.324 eV per atom. For the magnetization, the calculation gives 18.1 μB/f.u. The calculation puts the calculated formation energy at 0.89 eV per atom.

# 6
Below is an optimized crystal structure of LiAgP2, with properties calculated at the GGA-PBE level.

Unit cell a=10.6346 b=3.5336 c=3.7213 alpha=90.00 beta=96.13 gamma=90.00
With the nearest neighbours (Å) after each atom.
Space group Cm (No. 8)
Inequivalent atoms, fractional coordinates:
Li (0.0000, 0.0000, 0.0000) [2 per cell]  8 P 2.65-2.95, 1 Ag 2.79
Ag (0.2603, 0.0000, 0.9500) [2 per cell]  4 P 2.56-2.69, 1 Li 2.79
P (0.1267, 0.5000, 0.5170) [2 per cell]  1 P 2.07
P (0.4317, 0.0000, 0.4870) [2 per cell]  1 P 2.07

Summary:
The value obtained for the total energy is -3.996 eV per atom. For the magnetization, the calculation gives 0.0 μB/f.u. The calculation puts the calculated formation energy at -0.10 eV per atom. As for the excess energy over the best structure of this formula in the dataset: 0.154 eV per formula unit.

# 7
Below is an optimized crystal structure of Ac3NdPb3, with properties calculated at the GGA-PBE level.

Unit cell a=9.2233 b=14.0091 c=8.8158 alpha=90.00 beta=93.85 gamma=90.00
With the nearest neighbours (Å) after each atom.
Space group C2/m (No. 12)
Inequivalent atoms, fractional coordinates:
Ac (0.0000, 0.1621, 0.0000) [4 per cell]  6 Pb 3.31-3.51
Ac (0.0000, 0.2323, 0.5000) [4 per cell]  6 Pb 3.47-3.85
Ac (0.1103, 0.5000, 0.8447) [4 per cell]  1 Pb 3.28, 1 Ac 3.52
Nd (0.2486, 0.0000, 0.5925) [4 per cell]  4 Pb 3.08-3.15
Pb (0.0644, 0.0000, 0.2840) [4 per cell]  2 Nd 3.11-3.15, 3 Ac 3.28-3.40
Pb (0.1868, 0.3243, 0.2033) [8 per cell]  1 Nd 3.08, 1 Ac 3.31

Summary:
The value obtained for the total energy is -4.358 eV per atom. For the magnetization, the calculation gives 0.0 μB/f.u. The calculation puts the calculated formation energy at -0.33 eV per atom.

# 8
Below is an optimized crystal structure of Hf2ZnAgH, with properties calculated at the GGA-PBE level.

Unit cell a=4.3116 b=4.3116 c=4.1819 alpha=90.00 beta=90.00 gamma=90.00
With the nearest neighbours (Å) after each atom.
Space group P4/mmm (No. 123)
Inequivalent atoms, fractional coordinates:
Hf (0.0000, 0.5000, 0.0000) [2 per cell]  2 H 2.16
Zn (0.0000, 0.0000, 0.5000) [1 per cell]  8 Hf 3.00, 4 Ag 3.05
Ag (0.5000, 0.5000, 0.5000) [1 per cell]  2 H 2.09
H (0.5000, 0.5000, 0.0000) [1 per cell]  2 Ag 2.09, 4 Hf 2.16

Summary:
The value obtained for the total energy is -5.555 eV per atom. For the magnetization, the calculation gives 0.0 μB/f.u.

# 9
Below is an optimized crystal structure of Ba3Pd2Rh2Pb4, with properties calculated at the GGA-PBE level.

Unit cell a=4.7540 b=4.7540 c=16.9132 alpha=90.00 beta=90.00 gamma=120.00
With the nearest neighbours (Å) after each atom.
Space group P-3m1 (No. 164)
Inequivalent atoms, fractional coordinates:
Ba (0.0000, 0.0000, 0.0000) [1 per cell]  6 Pd 3.65, 6 Pb 3.69
Ba (0.0000, 0.0000, 0.2869) [2 per cell]  3 Rh 3.38, 6 Pb 3.64-3.72, 3 Pd 3.67
Pd (0.3333, 0.6667, 0.1425) [2 per cell]  3 Pb 2.75
Rh (0.3333, 0.6667, 0.5967) [2 per cell]  4 Pb 2.73-2.80
Pb (0.3333, 0.6667, 0.4354) [2 per cell]  4 Rh 2.73-2.80
Pb (0.3333, 0.6667, 0.8543) [2 per cell]  3 Pd 2.75

Summary:
The value obtained for the total energy is -4.484 eV per atom. For the magnetization, the calculation gives 0.0 μB/f.u. The calculation puts the calculated formation energy at -0.33 eV per atom.

# 10
Below is an optimized crystal structure of MgIn2Ga, with properties calculated at the GGA-PBE level.

Unit cell a=3.2384 b=3.2384 c=33.1269 alpha=90.00 beta=90.00 gamma=120.00
With the nearest neighbours (Å) after each atom.
Space group R-3m (No. 166, hexagonal axes)
Inequivalent atoms, fractional coordinates:
Mg (0.0000, 0.0000, 0.0000) [3 per cell]  2 In 3.00, 6 Mg 3.24
In (0.0000, 0.0000, 0.0905) [6 per cell]  1 Mg 3.00, 3 Ga 3.14, 6 In 3.24
Ga (0.0000, 0.0000, 0.5000) [3 per cell]  6 In 3.14, 6 Ga 3.24

Summary:
The value obtained for the total energy is -2.439 eV per atom. For the magnetization, the calculation gives 0.0 μB/f.u. The calculation puts the calculated formation energy at 0.09 eV per atom. As for the excess energy over the best structure of this formula in the dataset: 0.464 eV per formula unit.

# 11
Below is an optimized crystal structure of HfBePd3, with properties calculated at the GGA-PBE level.

Unit cell a=4.8417 b=4.8417 c=4.8417 alpha=90.00 beta=90.00 gamma=90.00
With the nearest neighbours (Å) after each atom.
Space group Pm-3m (No. 221)
Inequivalent atoms, fractional coordinates:
Hf (0.0000, 0.0000, 0.0000) [1 per cell]  6 Pd 2.42
Be (0.5000, 0.5000, 0.5000) [1 per cell]  12 Pd 3.42
Pd (0.0000, 0.0000, 0.5000) [3 per cell]  2 Hf 2.42

Summary:
The value obtained for the total energy is -4.899 eV per atom. For the magnetization, the calculation gives 0.0 μB/f.u. The calculation puts the calculated formation energy at 0.95 eV per atom. As for the excess energy over the best structure of this formula in the dataset: 6.670 eV per formula unit.

# 12
Below is an optimized crystal structure of NiAs2RhBr, with properties calculated at the GGA-PBE level.

Unit cell a=4.5003 b=4.5003 c=4.9074 alpha=90.00 beta=90.00 gamma=90.00
With the nearest neighbours (Å) after each atom.
Space group P4/mmm (No. 123)
Inequivalent atoms, fractional coordinates:
Ni (0.0000, 0.0000, 0.0000) [1 per cell]  4 As 2.25, 2 Br 2.45
As (0.0000, 0.5000, 0.0000) [2 per cell]  2 Ni 2.25
Rh (0.5000, 0.5000, 0.5000) [1 per cell]  4 Br 3.18, 8 As 3.33
Br (0.0000, 0.0000, 0.5000) [1 per cell]  2 Ni 2.45

Summary:
The value obtained for the total energy is -4.138 eV per atom. For the magnetization, the calculation gives 0.0 μB/f.u. The formation energy without anion corrections is 0.683 eV/atom. As for the excess energy over the best structure of this formula in the dataset: 0.000 eV per formula unit.